A plane-wave DFT calculation with PBE was carried out for an optimized crystal structure of LiAcYSc.

abc: 5.5712 5.5712 5.5712
angles: 60.00 60.00 60.00
Closest atoms and distances in Å follow each position.
Atoms (fractional coordinates):
1 Li 0.0000 0.0000 0.0000  4 Ac 3.41, 4 Y 3.41
2 Sc 0.5000 0.5000 0.5000  4 Y 3.41, 4 Ac 3.41
3 Y 0.7500 0.7500 0.7500  4 Sc 3.41, 4 Li 3.41
4 Ac 0.2500 0.2500 0.2500  4 Li 3.41, 4 Sc 3.41

## Properties
For the energy relative to the elements, the calculation gives 15 kJ per mole of atoms. As for the total energy: -4.544 eV/atom. As for the space group: F-43m.